1.
KP2Se | GGA-PBEsol | relaxed

## Properties
Formation energy from raw total energies, eV per atom: 0.37

Cell: 4.1127 4.1127 4.6120 Å, 90.00 90.00 90.00°
Closest atoms and distances in Å follow each position.
Fractional coordinates of all 4 atoms:
K  0.0000  0.0000  0.0000  4 Se 2.91, 8 P 3.09
P  0.0000  0.5000  0.5000  4 P 2.91, 4 Se 3.09, 4 K 3.09
P  0.5000  0.0000  0.5000  4 P 2.91, 4 Se 3.09, 4 K 3.09
Se  0.5000  0.5000  0.0000  4 K 2.91, 8 P 3.09

***

2.
HfZnNi2F | GGA-PBEsol | relaxed

## Properties
Formation energy from raw total energies, eV per atom: -0.05

Cell: 4.6715 4.6715 3.9318 Å, 90.00 90.00 90.00°
Closest atoms and distances in Å follow each position.
Fractional coordinates of all 5 atoms:
Hf  0.0000  0.0000  0.0000  2 F 1.97
Zn  0.5000  0.5000  0.5000  8 Ni 3.05, 4 F 3.30
Ni  0.0000  0.5000  0.0000  2 Hf 2.34
Ni  0.5000  0.0000  0.0000  2 Hf 2.34
F  0.0000  0.0000  0.5000  2 Hf 1.97

***

3.
LiCa2Tl | GGA-PBEsol | relaxed

## Properties
Formation energy from the elements, eV per atom: -0.2462
Energy above the lowest structure with this stoichiometry, eV per formula unit: 0.34

Cell: 3.7595 5.4361 11.1745 Å, 90.00 90.00 90.00°
Closest atoms and distances in Å follow each position.
Fractional coordinates of all 8 atoms:
Li  0.0000  0.0000  0.0000  2 Tl 2.82
Li  0.5000  0.5000  0.5000  2 Tl 2.82
Ca  0.0000  0.0000  0.4326  2 Tl 3.32, 4 Li 3.39, 2 Ca 3.60
Ca  0.0000  0.5000  0.2218  4 Tl 3.33, 2 Ca 3.60, 4 Li 3.63-3.68
Ca  0.5000  0.0000  0.7218  4 Tl 3.33, 2 Ca 3.60, 4 Li 3.63-3.68
Ca  0.5000  0.5000  0.9326  2 Tl 3.32, 4 Li 3.39, 2 Ca 3.60
Tl  0.0000  0.5000  0.6876  2 Li 2.82
Tl  0.5000  0.0000  0.1876  2 Li 2.82

***

Here are the calculated Fermi-level density of states numbers, same order: 2.04 2.29 2.64 (states/eV/f.u.).